Record 1
VASP calculation (PBE) on crystalline YMgSi2 at its relaxed geometry.

abc: 4.3683 4.3683 4.0328
angles: 90.00 90.00 90.04
Element x y z (fractional)
Si1 0.0000 0.0000 0.0000
Si2 0.5000 0.5000 0.0000
Y1 0.5000 0.0000 0.5000
Mg1 0.0000 0.5000 0.5000

Properties
M_tot   0.0 Bohr magnetons per cell
Formation energy without anion corrections   -0.3254 eV/atom
Final energy   -20.21 eV per cell

---

Record 2
VASP calculation (PBE) on crystalline Pm2ThCo at its relaxed geometry.

abc: 3.5844 3.5844 10.7302
angles: 80.39 80.39 60.00
Element x y z (fractional)
Pm1 0.8885 0.8885 0.3346
Pm2 0.1115 0.1115 0.6654
Co1 0.5000 0.5000 0.5000
Th1 0.0000 0.0000 0.0000

Properties
M_tot   0.0 Bohr magnetons per cell
DFT formation energy   256 meV/atom
Energy above the most stable polymorph in this dataset   400 meV per atom
Final energy   -23.00 eV per cell